DFT (GGA-PBEsol) results for YSi2Pb after structural relaxation. Values from VASP.

Summary:
E_form (uncorrected), eV/atom: -0.090
Raw total energy, eV per atom: -5.668
Total magnetization, μB per formula unit: 0.000

Quantum ESPRESSO input file:
```
&SYSTEM
  ibrav = 0, nat = 4, ntyp = 3
/
ATOMIC_SPECIES
Y 88.91 Y.upf
Si 28.09 Si.upf
Pb 207.20 Pb.upf
CELL_PARAMETERS angstrom
3.606 0.000 0.000
0.000 3.606 0.000
0.000 0.000 6.439
ATOMIC_POSITIONS crystal
Y 0.000 0.000 0.000
Si 0.000 0.000 0.571
Si 0.500 0.500 0.744
Pb 0.500 0.500 0.316
```



DFT (GGA-PBEsol) results for Y2SiPb after structural relaxation. Values from VASP.

Summary:
E_form (uncorrected), eV/atom: -0.497
Raw total energy, eV per atom: -6.345
Total magnetization, μB per formula unit: 0.000

Quantum ESPRESSO input file:
```
&SYSTEM
  ibrav = 0, nat = 4, ntyp = 3
/
ATOMIC_SPECIES
Y 88.91 Y.upf
Si 28.09 Si.upf
Pb 207.20 Pb.upf
CELL_PARAMETERS angstrom
3.754 0.000 0.000
0.000 3.754 0.000
0.000 0.000 6.792
ATOMIC_POSITIONS crystal
Y 0.000 0.000 0.221
Y 0.000 0.000 0.779
Si 0.500 0.500 0.000
Pb 0.500 0.500 0.500
```



DFT (GGA-PBEsol) results for ZnSiPb after structural relaxation. Values from VASP.

Summary:
E_form (uncorrected), eV/atom: 0.343
Raw total energy, eV per atom: -3.433
Total magnetization, μB per formula unit: 0.000

Quantum ESPRESSO input file:
```
&SYSTEM
  ibrav = 0, nat = 12, ntyp = 3
/
ATOMIC_SPECIES
Zn 65.41 Zn.upf
Si 28.09 Si.upf
Pb 207.20 Pb.upf
CELL_PARAMETERS angstrom
4.621 0.000 0.000
0.000 4.648 0.000
0.000 0.000 11.348
ATOMIC_POSITIONS crystal
Zn 0.000 0.000 0.000
Zn 0.000 0.500 0.500
Zn 0.500 0.000 0.500
Zn 0.500 0.500 0.000
Si 0.000 0.000 0.396
Si 0.000 0.500 0.896
Si 0.500 0.000 0.896
Si 0.500 0.500 0.396
Pb 0.000 0.000 0.698
Pb 0.000 0.500 0.198
Pb 0.500 0.000 0.198
Pb 0.500 0.500 0.698
```



DFT (GGA-PBEsol) results for Zn2SiPb after structural relaxation. Values from VASP.

Summary:
E_form (uncorrected), eV/atom: 0.338
Raw total energy, eV per atom: -2.889
Total magnetization, μB per formula unit: 0.000

Quantum ESPRESSO input file:
```
&SYSTEM
  ibrav = 0, nat = 12, ntyp = 3
/
ATOMIC_SPECIES
Zn 65.41 Zn.upf
Si 28.09 Si.upf
Pb 207.20 Pb.upf
CELL_PARAMETERS angstrom
3.362 0.000 0.000
-1.681 2.912 0.000
0.000 0.000 24.054
ATOMIC_POSITIONS crystal
Zn 0.000 0.000 0.000
Zn 0.000 0.000 0.263
Zn 0.333 0.667 0.667
Zn 0.333 0.667 0.929
Zn 0.667 0.333 0.333
Zn 0.667 0.333 0.596
Si 0.000 0.000 0.527
Si 0.333 0.667 0.194
Si 0.667 0.333 0.860
Pb 0.000 0.000 0.765
Pb 0.333 0.667 0.431
Pb 0.667 0.333 0.098
```



DFT (GGA-PBEsol) results for Zn2SiPb after structural relaxation. Values from VASP.

Summary:
E_form (uncorrected), eV/atom: 0.376
Raw total energy, eV per atom: -2.852
Total magnetization, μB per formula unit: 0.000

Quantum ESPRESSO input file:
```
&SYSTEM
  ibrav = 0, nat = 4, ntyp = 3
/
ATOMIC_SPECIES
Zn 65.41 Zn.upf
Si 28.09 Si.upf
Pb 207.20 Pb.upf
CELL_PARAMETERS angstrom
4.346 0.000 0.000
0.000 3.426 0.000
-1.863 0.000 5.225
ATOMIC_POSITIONS crystal
Zn 0.000 0.000 0.000
Zn 0.500 0.500 0.500
Si 0.000 0.000 0.500
Pb 0.500 0.500 0.000
```



DFT (GGA-PBEsol) results for Zn2SiPb after structural relaxation. Values from VASP.

Summary:
E_form (uncorrected), eV/atom: 0.228
Raw total energy, eV per atom: -3.000
Total magnetization, μB per formula unit: 0.000

Quantum ESPRESSO input file:
```
&SYSTEM
  ibrav = 0, nat = 8, ntyp = 3
/
ATOMIC_SPECIES
Zn 65.41 Zn.upf
Si 28.09 Si.upf
Pb 207.20 Pb.upf
CELL_PARAMETERS angstrom
7.461 0.000 0.000
0.000 3.854 0.000
-1.823 0.000 5.453
ATOMIC_POSITIONS crystal
Zn 0.225 0.000 0.160
Zn 0.275 0.500 0.840
Zn 0.725 0.500 0.160
Zn 0.775 0.000 0.840
Si 0.000 0.500 0.000
Si 0.500 0.000 0.000
Pb 0.000 0.000 0.500
Pb 0.500 0.500 0.500
```



DFT (GGA-PBEsol) results for Zn2SiPb after structural relaxation. Values from VASP.

Summary:
E_form (uncorrected), eV/atom: 0.222
Raw total energy, eV per atom: -3.006
Total magnetization, μB per formula unit: 0.000

Quantum ESPRESSO input file:
```
&SYSTEM
  ibrav = 0, nat = 8, ntyp = 3
/
ATOMIC_SPECIES
Zn 65.41 Zn.upf
Si 28.09 Si.upf
Pb 207.20 Pb.upf
CELL_PARAMETERS angstrom
7.028 0.000 0.000
0.000 4.083 0.000
-2.376 0.000 5.543
ATOMIC_POSITIONS crystal
Zn 0.000 0.000 0.000
Zn 0.226 0.500 0.179
Zn 0.500 0.500 0.000
Zn 0.726 0.000 0.179
Si 0.296 0.000 0.889
Si 0.796 0.500 0.889
Pb 0.003 0.500 0.508
Pb 0.503 0.000 0.508
```



DFT (GGA-PBEsol) results for Zn2SiPb after structural relaxation. Values from VASP.

Summary:
E_form (uncorrected), eV/atom: 0.282
Raw total energy, eV per atom: -2.945
Total magnetization, μB per formula unit: 0.000

Quantum ESPRESSO input file:
```
&SYSTEM
  ibrav = 0, nat = 4, ntyp = 3
/
ATOMIC_SPECIES
Zn 65.41 Zn.upf
Si 28.09 Si.upf
Pb 207.20 Pb.upf
CELL_PARAMETERS angstrom
2.984 0.000 0.000
0.000 3.763 0.000
0.000 0.000 6.792
ATOMIC_POSITIONS crystal
Zn 0.000 0.000 0.000
Zn 0.500 0.500 0.210
Si 0.500 0.500 0.834
Pb 0.000 0.000 0.503
```



DFT (GGA-PBEsol) results for ZnSi2Pb after structural relaxation. Values from VASP.

Summary:
E_form (uncorrected), eV/atom: 0.579
Raw total energy, eV per atom: -3.689
Total magnetization, μB per formula unit: 0.000

Quantum ESPRESSO input file:
```
&SYSTEM
  ibrav = 0, nat = 16, ntyp = 3
/
ATOMIC_SPECIES
Zn 65.41 Zn.upf
Si 28.09 Si.upf
Pb 207.20 Pb.upf
CELL_PARAMETERS angstrom
6.791 0.000 0.000
0.000 6.791 0.000
0.000 0.000 6.791
ATOMIC_POSITIONS crystal
Zn 0.000 0.000 0.000
Zn 0.000 0.500 0.500
Zn 0.500 0.000 0.500
Zn 0.500 0.500 0.000
Si 0.250 0.250 0.250
Si 0.250 0.250 0.750
Si 0.250 0.750 0.250
Si 0.250 0.750 0.750
Si 0.750 0.250 0.250
Si 0.750 0.250 0.750
Si 0.750 0.750 0.250
Si 0.750 0.750 0.750
Pb 0.000 0.000 0.500
Pb 0.000 0.500 0.000
Pb 0.500 0.000 0.000
Pb 0.500 0.500 0.500
```



DFT (GGA-PBEsol) results for Zn2SiPb after structural relaxation. Values from VASP.

Summary:
E_form (uncorrected), eV/atom: 0.418
Raw total energy, eV per atom: -2.809
Total magnetization, μB per formula unit: 0.000

Quantum ESPRESSO input file:
```
&SYSTEM
  ibrav = 0, nat = 16, ntyp = 3
/
ATOMIC_SPECIES
Zn 65.41 Zn.upf
Si 28.09 Si.upf
Pb 207.20 Pb.upf
CELL_PARAMETERS angstrom
6.786 0.000 0.000
0.000 6.786 0.000
0.000 0.000 6.786
ATOMIC_POSITIONS crystal
Zn 0.000 0.000 0.000
Zn 0.000 0.500 0.500
Zn 0.250 0.250 0.250
Zn 0.250 0.750 0.750
Zn 0.500 0.000 0.500
Zn 0.500 0.500 0.000
Zn 0.750 0.250 0.750
Zn 0.750 0.750 0.250
Si 0.000 0.000 0.500
Si 0.000 0.500 0.000
Si 0.500 0.000 0.000
Si 0.500 0.500 0.500
Pb 0.250 0.250 0.750
Pb 0.250 0.750 0.250
Pb 0.750 0.250 0.250
Pb 0.750 0.750 0.750
```



DFT (GGA-PBEsol) results for ZnSiPb after structural relaxation. Values from VASP.

Summary:
E_form (uncorrected), eV/atom: 0.222
Raw total energy, eV per atom: -3.554
Total magnetization, μB per formula unit: 0.000

Quantum ESPRESSO input file:
```
&SYSTEM
  ibrav = 0, nat = 3, ntyp = 3
/
ATOMIC_SPECIES
Zn 65.41 Zn.upf
Si 28.09 Si.upf
Pb 207.20 Pb.upf
CELL_PARAMETERS angstrom
4.140 0.000 0.000
-2.070 3.585 0.000
0.000 0.000 4.348
ATOMIC_POSITIONS crystal
Zn 0.000 0.000 0.000
Si 0.667 0.333 0.000
Pb 0.333 0.667 0.500
```



DFT (GGA-PBEsol) results for ZrSiPb2 after structural relaxation. Values from VASP.

Summary:
E_form (uncorrected), eV/atom: 0.334
Raw total energy, eV per atom: -5.374
Total magnetization, μB per formula unit: 0.000

Quantum ESPRESSO input file:
```
&SYSTEM
  ibrav = 0, nat = 16, ntyp = 3
/
ATOMIC_SPECIES
Zr 91.22 Zr.upf
Si 28.09 Si.upf
Pb 207.20 Pb.upf
CELL_PARAMETERS angstrom
7.210 0.000 0.000
0.000 7.210 0.000
0.000 0.000 7.210
ATOMIC_POSITIONS crystal
Zr 0.000 0.000 0.000
Zr 0.000 0.500 0.500
Zr 0.500 0.000 0.500
Zr 0.500 0.500 0.000
Si 0.250 0.250 0.750
Si 0.250 0.750 0.250
Si 0.750 0.250 0.250
Si 0.750 0.750 0.750
Pb 0.000 0.000 0.500
Pb 0.000 0.500 0.000
Pb 0.250 0.250 0.250
Pb 0.250 0.750 0.750
Pb 0.500 0.000 0.000
Pb 0.500 0.500 0.500
Pb 0.750 0.250 0.750
Pb 0.750 0.750 0.250
```



DFT (GGA-PBEsol) results for ZrSiPb2 after structural relaxation. Values from VASP.

Summary:
E_form (uncorrected), eV/atom: 0.099
Raw total energy, eV per atom: -5.609
Total magnetization, μB per formula unit: 0.000

Quantum ESPRESSO input file:
```
&SYSTEM
  ibrav = 0, nat = 8, ntyp = 3
/
ATOMIC_SPECIES
Zr 91.22 Zr.upf
Si 28.09 Si.upf
Pb 207.20 Pb.upf
CELL_PARAMETERS angstrom
4.248 0.000 0.000
0.000 4.248 0.000
0.000 0.000 10.105
ATOMIC_POSITIONS crystal
Zr 0.000 0.000 0.000
Zr 0.500 0.500 0.500
Si 0.000 0.000 0.500
Si 0.500 0.500 0.000
Pb 0.000 0.500 0.250
Pb 0.000 0.500 0.750
Pb 0.500 0.000 0.250
Pb 0.500 0.000 0.750
```



DFT (GGA-PBEsol) results for ZrSi2Pb after structural relaxation. Values from VASP.

Summary:
E_form (uncorrected), eV/atom: 0.017
Raw total energy, eV per atom: -6.128
Total magnetization, μB per formula unit: 0.000

Quantum ESPRESSO input file:
```
&SYSTEM
  ibrav = 0, nat = 4, ntyp = 3
/
ATOMIC_SPECIES
Zr 91.22 Zr.upf
Si 28.09 Si.upf
Pb 207.20 Pb.upf
CELL_PARAMETERS angstrom
3.069 0.000 0.000
0.000 3.069 0.000
0.000 0.000 8.499
ATOMIC_POSITIONS crystal
Zr 0.000 0.000 0.000
Si 0.500 0.500 0.220
Si 0.500 0.500 0.780
Pb 0.000 0.000 0.500
```